P | # Li3PtRh

A geometry-optimized Li3PtRh structure (PBE-GGA, Alexandria).

The structure in extended XYZ format:
```
5
Lattice="-0.752 -2.187 3.868 3.857 -2.268 -0.533 2.206 3.221 2.251" Properties=species:S:1:pos:R:3 pbc="T T T"
Rh 2.655 -0.617 2.793
Pt 0.000 0.000 0.000
Li -0.376 -1.094 1.934
Li 1.103 1.611 1.125
Li 1.929 -1.134 -0.267
```

- space-group type = Pm-3m, No. 221

Q | # Li3PtRh

A geometry-optimized Li3PtRh structure (PBE-GGA, Alexandria).

The structure in extended XYZ format:
```
20
Lattice="-0.824 3.840 1.315 -4.886 -3.331 6.667 6.983 -0.217 5.009" Properties=species:S:1:pos:R:3 pbc="T T T"
Rh 1.969 -2.390 8.216
Pt 1.048 -1.774 5.838
Rh -0.696 2.682 4.775
Li 1.396 0.710 5.324
Li 1.778 3.171 4.898
Li -3.891 0.504 9.134
Li -0.506 -2.879 8.093
Li -0.123 -0.418 7.667
Li -1.583 3.276 2.486
Li 5.164 -0.212 3.857
Li 2.856 -2.984 10.505
Li -1.965 0.815 2.912
Pt -0.412 1.920 0.657
Rh 0.509 1.303 3.034
Pt 3.080 1.811 3.162
Pt -2.443 -1.665 3.334
Li 2.455 0.142 7.649
Li -1.182 0.150 5.342
Li 3.238 -0.523 10.079
Rh 0.763 -1.011 9.957
```

- space-group type = Imma, No. 74

Most stable = Q

P | # LiTmPtRh

A geometry-optimized LiTmPtRh structure (PBE-GGA, Alexandria).

The structure in extended XYZ format:
```
4
Lattice="4.559 0.000 0.000 2.280 3.948 0.000 2.280 1.316 3.722" Properties=species:S:1:pos:R:3 pbc="T T T"
Pt 6.839 3.948 2.792
Li 4.559 2.632 1.861
Tm 0.000 0.000 0.000
Rh 2.280 1.316 0.931
```

- space-group type = F-43m, No. 216

Q | # LiTmPtRh

A geometry-optimized LiTmPtRh structure (PBE-GGA, Alexandria).

The structure in extended XYZ format:
```
4
Lattice="3.745 0.000 0.000 0.000 4.102 0.000 0.000 0.000 4.306" Properties=species:S:1:pos:R:3 pbc="T T T"
Tm 1.873 0.000 2.153
Rh 0.000 2.051 2.153
Pt 0.000 0.000 0.000
Li 1.873 2.051 0.000
```

- space-group type = Pmmm, No. 47

Most stable = Q

P | # Li2RuPt

A geometry-optimized Li2RuPt structure (PBE-GGA, Alexandria).

The structure in extended XYZ format:
```
4
Lattice="4.532 0.000 0.000 0.000 2.665 -0.001 0.000 0.001 4.615" Properties=species:S:1:pos:R:3 pbc="T T T"
Li 2.266 1.000 0.868
Pt 0.000 1.000 2.619
Ru 2.266 2.333 3.138
Li 0.000 2.332 0.295
```

- space-group type = Pmm2, No. 25

Q | # Li2RuPt

A geometry-optimized Li2RuPt structure (PBE-GGA, Alexandria).

The structure in extended XYZ format:
```
4
Lattice="4.928 0.004 0.000 2.166 4.427 0.000 -3.547 -2.215 2.607" Properties=species:S:1:pos:R:3 pbc="T T T"
Ru 2.464 0.002 1.304
Li 3.547 2.215 0.000
Pt 1.083 2.213 1.304
Li 0.000 0.000 0.000
```

- space-group type = I4/mmm, No. 139

Most stable = P

P | # Li2RuPt

A geometry-optimized Li2RuPt structure (PBE-GGA, Alexandria).

The structure in extended XYZ format:
```
4
Lattice="4.924 0.013 0.000 -2.142 4.434 0.000 0.000 0.000 2.576" Properties=species:S:1:pos:R:3 pbc="T T T"
Li 0.000 0.000 0.000
Ru -1.071 2.217 1.288
Li 1.391 2.223 0.000
Pt 2.462 0.006 1.288
```

- space-group type = Cmmm, No. 65

Q | # Li2RuPt

A geometry-optimized Li2RuPt structure (PBE-GGA, Alexandria).

The structure in extended XYZ format:
```
4
Lattice="4.387 0.000 0.000 0.000 4.387 0.000 0.000 0.000 2.667" Properties=species:S:1:pos:R:3 pbc="T T T"
Ru 0.000 2.193 1.333
Li 2.193 2.193 0.000
Pt 2.193 0.000 1.333
Li 0.000 0.000 0.000
```

- space-group type = P4/mmm, No. 123

R | # Li2RuPt

A geometry-optimized Li2RuPt structure (PBE-GGA, Alexandria).

The structure in extended XYZ format:
```
4
Lattice="4.290 -0.046 0.000 0.041 4.290 0.000 -2.165 -2.122 3.035" Properties=species:S:1:pos:R:3 pbc="T T T"
Li 0.000 0.000 0.000
Ru 2.145 -0.023 1.517
Li 0.021 2.145 1.517
Pt 2.165 2.122 0.000
```

- space-group type = F-43m, No. 216

S | # Li2RuPt

A geometry-optimized Li2RuPt structure (PBE-GGA, Alexandria).

The structure in extended XYZ format:
```
4
Lattice="4.111 0.000 0.000 0.000 3.707 0.000 0.000 0.000 3.707" Properties=species:S:1:pos:R:3 pbc="T T T"
Li 0.000 1.854 1.854
Pt 2.056 1.854 0.000
Ru 2.056 0.000 1.854
Li 0.000 0.000 0.000
```

- space-group type = P4/mmm, No. 123

Most stable = R

P | # Li2RuPt

A geometry-optimized Li2RuPt structure (PBE-GGA, Alexandria).

The structure in extended XYZ format:
```
4
Lattice="2.660 -0.009 0.000 -1.230 2.358 0.000 0.000 0.000 8.890" Properties=species:S:1:pos:R:3 pbc="T T T"
Li 0.000 0.000 4.427
Ru 0.715 1.175 6.668
Li 0.000 0.000 0.018
Pt 0.715 1.175 2.223
```

- space-group type = Cmmm, No. 65

Q | # Li2RuPt

A geometry-optimized Li2RuPt structure (PBE-GGA, Alexandria).

The structure in extended XYZ format:
```
4
Lattice="-2.353 0.624 0.928 -0.988 -2.174 -1.042 1.668 -4.110 6.995" Properties=species:S:1:pos:R:3 pbc="T T T"
Li 0.814 -2.006 3.414
Ru -0.419 -3.857 5.189
Li 0.020 -0.049 0.084
Pt -1.253 -1.802 1.692
```

- space-group type = P4/mmm, No. 123

Most stable = P

P | # Li2RuPt

A geometry-optimized Li2RuPt structure (PBE-GGA, Alexandria).

The structure in extended XYZ format:
```
4
Lattice="4.438 0.000 0.000 0.000 2.631 -0.012 0.000 0.165 4.754" Properties=species:S:1:pos:R:3 pbc="T T T"
Li 0.000 1.339 2.392
Li 0.000 0.224 4.734
Ru 2.219 2.097 3.556
Pt 2.219 0.699 1.185
```

- space-group type = P2/m, No. 10

Q | # Li2RuPt

A geometry-optimized Li2RuPt structure (PBE-GGA, Alexandria).

The structure in extended XYZ format:
```
4
Lattice="1.677 -2.754 2.632 2.312 1.320 3.199 -1.454 -0.315 3.887" Properties=species:S:1:pos:R:3 pbc="T T T"
Ru 0.000 0.000 0.000
Li 0.634 -0.437 2.430
Li 1.901 -1.311 7.289
Pt 1.267 -0.874 4.859
```

- space-group type = Fm-3m, No. 225

Most stable = P

P | # Li2RuPt

A geometry-optimized Li2RuPt structure (PBE-GGA, Alexandria).

The structure in extended XYZ format:
```
4
Lattice="2.737 0.000 0.000 0.000 2.737 0.000 0.000 0.000 7.775" Properties=species:S:1:pos:R:3 pbc="T T T"
Li 1.368 1.368 2.099
Pt 0.000 0.000 3.881
Ru 1.368 1.368 5.797
Li 0.000 0.000 7.661
```

- space-group type = P4mm, No. 99

Q | # Li2RuPt

A geometry-optimized Li2RuPt structure (PBE-GGA, Alexandria).

The structure in extended XYZ format:
```
4
Lattice="5.037 0.065 0.666 4.310 2.608 0.666 1.469 0.420 4.559" Properties=species:S:1:pos:R:3 pbc="T T T"
Ru 2.796 0.799 1.953
Pt 5.275 1.508 2.465
Li 8.318 2.378 4.840
Li 10.653 3.045 5.470
```

- space-group type = Cm, No. 8

R | # Li2RuPt

A geometry-optimized Li2RuPt structure (PBE-GGA, Alexandria).

The structure in extended XYZ format:
```
8
Lattice="-2.729 -3.516 5.110 -0.740 -5.358 -4.082 0.537 -5.249 1.168" Properties=species:S:1:pos:R:3 pbc="T T T"
Li -2.637 -11.724 1.758
Pt 0.000 0.000 0.000
Li -1.676 -4.194 2.997
Ru -0.969 -7.522 -1.200
Li -0.896 -7.242 1.279
Ru -1.735 -4.437 0.514
Li -0.658 -5.085 -1.642
Pt -1.964 -6.601 3.396
```

- space-group type = I-42d, No. 122

Most stable = Q

P | # LiRu2Pt

A geometry-optimized LiRu2Pt structure (PBE-GGA, Alexandria).

The structure in extended XYZ format:
```
4
Lattice="2.671 -0.013 0.000 -1.263 2.353 0.000 0.000 0.000 9.313" Properties=species:S:1:pos:R:3 pbc="T T T"
Pt 0.704 1.170 6.985
Ru 0.000 0.000 0.037
Li 0.704 1.170 2.328
Ru 0.000 0.000 4.620
```

- space-group type = Cmmm, No. 65

Q | # LiRu2Pt

A geometry-optimized LiRu2Pt structure (PBE-GGA, Alexandria).

The structure in extended XYZ format:
```
4
Lattice="4.607 0.000 0.000 0.000 2.682 -0.023 0.000 0.277 4.579" Properties=species:S:1:pos:R:3 pbc="T T T"
Li 2.304 0.740 1.139
Ru 0.000 2.658 0.028
Pt 2.304 2.219 3.417
Ru 0.000 1.503 2.228
```

- space-group type = P2/m, No. 10

Most stable = Q

P | # LiRu2Pt

A geometry-optimized LiRu2Pt structure (PBE-GGA, Alexandria).

The structure in extended XYZ format:
```
4
Lattice="-3.675 1.673 -1.125 -1.380 -3.332 -0.447 -1.073 -0.022 3.472" Properties=species:S:1:pos:R:3 pbc="T T T"
Li -2.528 -0.829 -0.786
Ru 0.000 0.000 0.000
Ru -1.226 -1.677 1.512
Pt -2.374 0.826 1.173
```

- space-group type = P4/mmm, No. 123

Q | # LiRu2Pt

A geometry-optimized LiRu2Pt structure (PBE-GGA, Alexandria).

The structure in extended XYZ format:
```
8
Lattice="6.947 0.000 0.000 0.000 6.947 0.000 3.473 3.473 2.460" Properties=species:S:1:pos:R:3 pbc="T T T"
Ru 5.125 1.737 0.615
Pt 0.000 0.000 0.000
Ru 8.684 8.599 1.845
Pt 6.947 3.473 1.230
Ru 5.210 5.295 1.845
Li 3.473 6.947 1.230
Ru 1.822 5.210 0.615
Li 3.473 3.473 0.000
```

- space-group type = I-42d, No. 122

R | # LiRu2Pt

A geometry-optimized LiRu2Pt structure (PBE-GGA, Alexandria).

The structure in extended XYZ format:
```
4
Lattice="-3.671 -0.075 -2.671 -1.949 -3.030 2.764 -1.107 2.048 1.464" Properties=species:S:1:pos:R:3 pbc="T T T"
Pt -1.528 -0.491 2.114
Ru 0.000 0.000 0.000
Ru -2.810 -1.553 0.047
Li -2.389 0.986 -0.603
```

- space-group type = P4/mmm, No. 123

S | # LiRu2Pt

A geometry-optimized LiRu2Pt structure (PBE-GGA, Alexandria).

The structure in extended XYZ format:
```
4
Lattice="-2.331 1.323 0.741 -1.513 -2.123 -0.970 0.265 -3.110 6.391" Properties=species:S:1:pos:R:3 pbc="T T T"
Ru 0.004 -0.044 0.091
Ru -1.856 -1.173 1.475
Pt -1.727 -2.682 4.577
Li 0.133 -1.564 3.215
```

- space-group type = P4mm, No. 99

Most stable = S

P | # LiRu2Pt

A geometry-optimized LiRu2Pt structure (PBE-GGA, Alexandria).

The structure in extended XYZ format:
```
4
Lattice="4.620 0.005 0.003 3.835 2.576 0.003 0.710 0.217 4.714" Properties=species:S:1:pos:R:3 pbc="T T T"
Ru 9.111 2.782 4.530
Pt 2.362 0.721 1.359
Li 4.599 1.404 2.223
Ru 6.842 2.089 3.689
```

- space-group type = Cm, No. 8

Q | # LiRu2Pt

A geometry-optimized LiRu2Pt structure (PBE-GGA, Alexandria).

The structure in extended XYZ format:
```
4
Lattice="-0.382 -5.538 -1.699 3.572 -2.995 -3.459 -1.206 3.092 4.763" Properties=species:S:1:pos:R:3 pbc="T T T"
Ru 1.486 -3.976 -2.403
Pt 1.981 -2.085 -0.638
Li 0.003 -3.356 0.243
Ru 0.109 -0.291 -0.176
```

- space-group type = Immm, No. 71

Most stable = P

P | # LiRu2Pt

A geometry-optimized LiRu2Pt structure (PBE-GGA, Alexandria).

The structure in extended XYZ format:
```
4
Lattice="-1.239 -0.407 -3.828 2.162 -1.491 -0.541 -1.477 -4.925 1.001" Properties=species:S:1:pos:R:3 pbc="T T T"
Pt -0.137 -4.748 -1.587
Ru 0.051 -0.236 0.009
Li -0.124 -3.025 0.362
Ru 0.000 -2.022 -1.921
```

- space-group type = Amm2, No. 38

Q | # LiRu2Pt

A geometry-optimized LiRu2Pt structure (PBE-GGA, Alexandria).

The structure in extended XYZ format:
```
4
Lattice="4.755 -0.002 -0.004 3.987 2.590 -0.004 0.612 0.181 4.524" Properties=species:S:1:pos:R:3 pbc="T T T"
Li 7.015 2.077 3.386
Ru 9.270 2.744 4.495
Pt 2.338 0.692 1.129
Ru 4.761 1.409 2.278
```

- space-group type = C2/m, No. 12

Most stable = P

P | # LiRu2Pt

A geometry-optimized LiRu2Pt structure (PBE-GGA, Alexandria).

The structure in extended XYZ format:
```
4
Lattice="0.000 3.033 3.033 3.033 0.000 3.033 3.033 3.033 0.000" Properties=species:S:1:pos:R:3 pbc="T T T"
Li 0.000 0.000 0.000
Ru 1.517 1.517 1.517
Ru 4.550 4.550 4.550
Pt 3.033 3.033 3.033
```

- space-group type = Fm-3m, No. 225

Q | # LiRu2Pt

A geometry-optimized LiRu2Pt structure (PBE-GGA, Alexandria).

The structure in extended XYZ format:
```
4
Lattice="-2.330 -1.029 -0.972 1.141 -3.451 0.920 -2.283 0.549 4.890" Properties=species:S:1:pos:R:3 pbc="T T T"
Ru -0.053 0.013 0.113
Ru -1.139 -2.109 1.139
Pt -2.252 -1.842 3.524
Li -1.170 0.281 2.506
```

- space-group type = Pmm2, No. 25

Most stable = Q